A relaxed structure of Ac2NdCu. Source: the Alexandria database, functional PBE-GGA.

abc: 3.8361 3.8361 9.2284
angles: 90.00 90.00 90.00
Closest atoms and distances in Å follow each position.
Space group P4/mmm (No. 123)
Inequivalent atoms, fractional coordinates:
Ac 0.0000 0.0000 0.2015  4 Cu 3.29
Nd 0.5000 0.5000 0.5000  4 Nd 3.84, 8 Ac 3.87
Cu 0.5000 0.5000 0.0000  8 Ac 3.29

Properties
D(E_F) = 5.36 states/eV/f.u.
distance to the lowest polymorph of the same formula = 0.0000 eV per atom